Record 1
Tl2Sn2Te3 | the Alexandria database | PBE | optimized geometry; formation energy from raw total energies = -0.262 eV/atom; energy above the most stable polymorph in this dataset = 0.00 eV per formula unit
1.0
-2.901 0.567 -3.509
2.131 -7.650 -0.005
-5.539 -1.263 4.436
Sn Te Tl
2 3 2
direct
0.368 0.734 0.123
0.632 0.266 0.877
0.268 0.543 0.761
0.732 0.457 0.239
0.000 0.000 0.000
0.111 0.212 0.415
0.889 0.788 0.585

***

Record 2
SiBi2O5 | the Alexandria database | PBE | optimized geometry; formation energy from raw total energies = -1.712 eV/atom; energy above the most stable polymorph in this dataset = 1.07 eV per formula unit; DOS(E_F) = 0.0000 states/eV per atom
1.0
-4.457 -3.107 -0.368
2.812 -3.698 -2.842
1.884 1.456 5.189
Si O Bi
1 5 2
direct
0.977 0.977 0.955
0.820 0.820 0.081
0.820 0.261 0.081
0.261 0.820 0.081
0.784 0.784 0.568
0.261 0.261 0.081
0.177 0.677 0.354
0.677 0.177 0.354

***

Record 3
FeHgSb2 | the Alexandria database | PBE | optimized geometry; formation energy from raw total energies = 0.494 eV/atom; DOS(E_F) = 1.2681 states/eV per atom
1.0
-2.245 4.442 0.294
-2.767 -2.590 -3.239
-3.887 -0.768 2.104
Sb Fe Hg
2 1 1
direct
0.000 0.000 0.000
0.500 0.500 0.000
0.500 0.000 0.500
0.000 0.500 0.500

***

- The highest formation energy from raw total energies belongs to which entry?
  FeHgSb2

***

Please write out number 2 again, unchanged.
SiBi2O5 | the Alexandria database | PBE | optimized geometry; formation energy from raw total energies = -1.712 eV/atom; energy above the most stable polymorph in this dataset = 1.07 eV per formula unit; DOS(E_F) = 0.0000 states/eV per atom
1.0
-4.457 -3.107 -0.368
2.812 -3.698 -2.842
1.884 1.456 5.189
Si O Bi
1 5 2
direct
0.977 0.977 0.955
0.820 0.820 0.081
0.820 0.261 0.081
0.261 0.820 0.081
0.784 0.784 0.568
0.261 0.261 0.081
0.177 0.677 0.354
0.677 0.177 0.354